# LiTaSN2 | Alexandria via LeMat-Bulk | SCAN | single point on PBEsol structure
data_LiTaSN2
_cell_length_a 3.5591
_cell_length_b 3.5591
_cell_length_c 4.1687
_cell_angle_alpha 90.00
_cell_angle_beta 90.00
_cell_angle_gamma 90.00
_symmetry_space_group_name_H-M 'P 4/m m m'
_symmetry_Int_Tables_number 123
_symmetry_space_group_name_Hall '-P 4 2'
loop_
_atom_site_label
_atom_site_fract_x
_atom_site_fract_y
_atom_site_fract_z
Li1 0.0000 0.0000 0.0000
Ta1 0.5000 0.5000 0.5000
S1 0.0000 0.0000 0.5000
N1 0.0000 0.5000 0.0000
# - V: 53 Å³ per cell
# - Energy relative to the elements, uncorrected: 1164 meV/atom

# HfHgAsSe2 | Alexandria via LeMat-Bulk | SCAN | single point on PBEsol structure
data_HfHgAsSe2
_cell_length_a 5.0557
_cell_length_b 5.0557
_cell_length_c 5.2368
_cell_angle_alpha 90.00
_cell_angle_beta 90.00
_cell_angle_gamma 90.00
_symmetry_space_group_name_H-M 'P 4/m m m'
_symmetry_Int_Tables_number 123
_symmetry_space_group_name_Hall '-P 4 2'
loop_
_atom_site_label
_atom_site_fract_x
_atom_site_fract_y
_atom_site_fract_z
Hf1 0.0000 0.0000 0.0000
Hg1 0.5000 0.5000 0.5000
As1 0.0000 0.0000 0.5000
Se1 0.0000 0.5000 0.0000
# - V: 134 Å³ per cell
# - Energy relative to the elements, uncorrected: -213 meV/atom

# OsS2N | Alexandria via LeMat-Bulk | SCAN | single point on PBEsol structure
data_OsS2N
_cell_length_a 3.5659
_cell_length_b 3.5659
_cell_length_c 16.2665
_cell_angle_alpha 90.00
_cell_angle_beta 90.00
_cell_angle_gamma 120.00
_symmetry_space_group_name_H-M 'R -3 m'
_symmetry_Int_Tables_number 166
_symmetry_space_group_name_Hall '-R 3 2"'
loop_
_atom_site_label
_atom_site_fract_x
_atom_site_fract_y
_atom_site_fract_z
Os1 0.0000 0.0000 0.0000
S1 0.0000 0.0000 0.4038
N1 0.0000 0.0000 0.5000
# - V: 179 Å³ per cell
# - Energy relative to the elements, uncorrected: 423 meV/atom

# CaScZn4 | Alexandria via LeMat-Bulk | SCAN | single point on PBEsol structure
data_CaScZn4
_cell_length_a 7.4791
_cell_length_b 7.4791
_cell_length_c 7.4791
_cell_angle_alpha 90.00
_cell_angle_beta 90.00
_cell_angle_gamma 90.00
_symmetry_space_group_name_H-M 'F -4 3 m'
_symmetry_Int_Tables_number 216
_symmetry_space_group_name_Hall 'F -4 2 3'
loop_
_atom_site_label
_atom_site_fract_x
_atom_site_fract_y
_atom_site_fract_z
Ca1 0.0000 0.0000 0.0000
Sc1 0.2500 0.2500 0.7500
Zn1 0.1241 0.1241 0.3759
# - E_form: -0.347 eV per atom
# - V: 418 Å³ per cell